Density functional theory data (PBE) for a relaxed structure of K4PbO3.

Structure (extended XYZ):
```
64
Lattice="6.663 0.000 0.000 0.000 11.775 0.000 0.000 0.000 18.945" Properties=species:S:1:pos:R:3 pbc="T T T"
K 6.276 4.488 3.814
K 2.945 1.400 15.132
K 0.387 10.375 5.659
K 3.718 7.287 13.286
K 0.387 7.287 15.132
K 3.718 10.375 3.814
K 6.276 1.400 13.286
K 2.945 4.488 5.659
K 5.083 2.205 17.868
K 1.752 3.683 1.077
K 1.580 8.092 10.550
K 4.911 9.570 8.395
K 1.580 9.570 1.077
K 4.911 8.092 17.868
K 5.083 3.683 8.395
K 1.752 2.205 10.550
K 4.972 0.643 10.108
K 1.640 5.244 8.838
K 1.691 6.531 18.310
K 5.023 11.132 0.635
K 1.691 11.132 8.838
K 5.023 6.531 10.108
K 4.972 5.244 0.635
K 1.640 0.643 18.310
K 4.178 2.027 2.798
K 0.846 3.861 16.148
K 2.485 7.914 6.675
K 5.816 9.748 12.270
K 2.485 9.748 16.148
K 5.816 7.914 2.798
K 4.178 3.861 12.270
K 0.846 2.027 6.675
Pb 4.080 0.726 6.546
Pb 0.749 5.161 12.399
Pb 2.583 6.613 2.926
Pb 5.914 11.049 16.019
Pb 2.583 11.049 12.399
Pb 5.914 6.613 6.546
Pb 4.080 5.161 16.019
Pb 0.749 0.726 2.926
O 6.384 4.150 10.716
O 3.053 1.737 8.229
O 0.279 10.038 17.701
O 3.610 7.625 1.244
O 0.279 7.625 8.229
O 3.610 10.038 10.716
O 6.384 1.737 1.244
O 3.053 4.150 17.701
O 3.600 4.629 2.980
O 0.269 1.259 15.966
O 3.063 10.516 6.493
O 6.394 7.146 12.452
O 3.063 7.146 15.966
O 6.394 10.516 2.980
O 3.600 1.259 12.452
O 0.269 4.629 6.493
O 5.927 5.757 17.056
O 2.595 0.131 1.889
O 0.736 11.644 11.362
O 4.068 6.018 7.583
O 0.736 6.018 1.889
O 4.068 11.644 17.056
O 5.927 0.131 7.583
O 2.595 5.757 11.362
```

Summary:
Density   3.7 g/cm³
Raw formation energy   -1.223 eV/atom
Space-group type   Pbca (61)
Crystal system   orthorhombic
Relative energy among the computed polymorphs   0.0 meV/atom